Entry 1:
## Ba3ErIrRuO9 (meta-GGA SCAN)

Data for a crystal of Ba3ErIrRuO9 relaxed with PBEsol.

Computed properties:
**Total energy**: -735.902 eV for the cell shown
**Formation energy (no corrections)**: -2.46 eV per atom
**Space group**: P6_3mc, No. 186

Lattice parameters (Å, degrees): 5.842 5.842 14.420 90.00 90.00 120.00
Fractional positions:
Ba (0.000, 0.000, 0.000)
Ba (0.000, 0.000, 0.500)
Ba (0.333, 0.667, 0.159)
Ba (0.333, 0.667, 0.843)
Ba (0.667, 0.333, 0.343)
Ba (0.667, 0.333, 0.659)
Er (0.000, 0.000, 0.250)
Er (0.000, 0.000, 0.750)
Ir (0.333, 0.667, 0.414)
Ir (0.667, 0.333, 0.914)
Ru (0.333, 0.667, 0.587)
Ru (0.667, 0.333, 0.087)
O (0.019, 0.509, 0.501)
O (0.175, 0.351, 0.335)
O (0.175, 0.825, 0.335)
O (0.176, 0.352, 0.662)
O (0.176, 0.824, 0.662)
O (0.351, 0.175, 0.835)
O (0.352, 0.176, 0.162)
O (0.491, 0.509, 0.501)
O (0.491, 0.981, 0.501)
O (0.509, 0.019, 0.001)
O (0.509, 0.491, 0.001)
O (0.648, 0.824, 0.662)
O (0.649, 0.825, 0.335)
O (0.824, 0.176, 0.162)
O (0.824, 0.648, 0.162)
O (0.825, 0.175, 0.835)
O (0.825, 0.649, 0.835)
O (0.981, 0.491, 0.001)

---

Entry 2:
## ReHg2RuC (meta-GGA SCAN)

Data for a crystal of ReHg2RuC relaxed with PBEsol.

Computed properties:
**Total energy**: -244.170 eV for the cell shown
**Space group**: P4/mmm, No. 123
**Calculated formation energy**: 157.95 kJ/mol of atoms

Lattice parameters (Å, degrees): 4.558 4.558 3.811 90.00 90.00 90.00
Fractional positions:
Re (0.000, 0.000, 0.000)
Hg (0.000, 0.500, 0.500)
Hg (0.500, 0.000, 0.500)
Ru (0.500, 0.500, 0.000)
C (0.500, 0.500, 0.500)

---

Copy entry 2 word for word.
## ReHg2RuC (meta-GGA SCAN)

Data for a crystal of ReHg2RuC relaxed with PBEsol.

Computed properties:
**Total energy**: -244.170 eV for the cell shown
**Space group**: P4/mmm, No. 123
**Calculated formation energy**: 157.95 kJ/mol of atoms

Lattice parameters (Å, degrees): 4.558 4.558 3.811 90.00 90.00 90.00
Fractional positions:
Re (0.000, 0.000, 0.000)
Hg (0.000, 0.500, 0.500)
Hg (0.500, 0.000, 0.500)
Ru (0.500, 0.500, 0.000)
C (0.500, 0.500, 0.500)

---

Q: Which formula does entry 2 have?
A: ReHg2RuC